A plane-wave DFT calculation with GGA-PBE was carried out for Mg2Cd3Hg5 after structural relaxation.

Geometry as CIF:
```
data_Mg2Cd3Hg5
_chemical_formula_sum 'Mg2 Cd3 Hg5'
_cell_length_a 3.485
_cell_length_b 5.037
_cell_length_c 14.294
_cell_angle_alpha 83.51
_cell_angle_beta 87.48
_cell_angle_gamma 70.00
_symmetry_space_group_name_H-M 'P -1'
_symmetry_Int_Tables_number 2
loop_
_symmetry_equiv_pos_as_xyz
'x,y,z'
'-x,-y,-z'
loop_
_atom_site_label
_atom_site_type_symbol
_atom_site_fract_x
_atom_site_fract_y
_atom_site_fract_z
Mg1 Mg 0.090 0.295 0.198
Cd1 Cd 0.319 0.908 0.604
Cd2 Cd 0.500 0.500 0.000
Hg1 Hg 0.000 0.500 0.500
Hg2 Hg 0.204 0.097 0.897
Hg3 Hg 0.386 0.687 0.294
```

Formation energy = -0.07 eV per atom
E = -0.81 eV per atom
D(E_F) = 2.98 states/eV per cell
Total magnetization = 0.00 μB per formula unit

---

A plane-wave DFT calculation with GGA-PBE was carried out for La2NiTe after structural relaxation.

Geometry as CIF:
```
data_La2NiTe
_chemical_formula_sum 'La6 Ni3 Te3'
_cell_length_a 4.2351
_cell_length_b 4.2351
_cell_length_c 23.3001
_cell_angle_alpha 90.00
_cell_angle_beta 90.00
_cell_angle_gamma 120.00
_symmetry_space_group_name_H-M 'R 3 m'
_symmetry_Int_Tables_number 160
_symmetry_space_group_name_Hall 'R 3 -2"'
loop_
_atom_site_label
_atom_site_type_symbol
_atom_site_fract_x
_atom_site_fract_y
_atom_site_fract_z
La1 La 0.0000 0.0000 0.0000
La2 La 0.0000 0.0000 0.1951
Ni1 Ni 0.0000 0.0000 0.5971
Te1 Te 0.0000 0.0000 0.7646
```

E = -5.54 eV per atom
D(E_F) = 4.93 states/eV per cell
ΔE_f (raw) = -0.8428 eV/atom
Total magnetization = 0.00 μB per formula unit

---

A plane-wave DFT calculation with GGA-PBE was carried out for CaSmYTl after structural relaxation.

Geometry as CIF:
```
data_CaSmYTl
_chemical_formula_sum 'Ca4 Sm4 Y4 Tl4'
_cell_length_a 7.861
_cell_length_b 7.861
_cell_length_c 7.861
_cell_angle_alpha 90.00
_cell_angle_beta 90.00
_cell_angle_gamma 90.00
_symmetry_space_group_name_H-M 'F -4 3 m'
_symmetry_Int_Tables_number 216
_symmetry_space_group_name_Hall 'F -4 2 3'
loop_
_atom_site_label
_atom_site_type_symbol
_atom_site_fract_x
_atom_site_fract_y
_atom_site_fract_z
Ca1 Ca 0.000 0.000 0.000
Sm1 Sm 0.250 0.250 0.250
Y1 Y 0.250 0.250 0.750
Tl1 Tl 0.000 0.000 0.500
```

Formation energy = -0.08 eV per atom
E = -3.97 eV per atom
D(E_F) = 14.91 states/eV per cell
Total magnetization = 0.00 μB per formula unit

---

A plane-wave DFT calculation with GGA-PBE was carried out for SrLaGePd after structural relaxation.

Geometry as CIF:
```
data_SrLaGePd
_chemical_formula_sum 'Sr4 La4 Ge4 Pd4'
_cell_length_a 7.496
_cell_length_b 7.496
_cell_length_c 7.496
_cell_angle_alpha 90.00
_cell_angle_beta 90.00
_cell_angle_gamma 90.00
_symmetry_space_group_name_H-M 'F -4 3 m'
_symmetry_Int_Tables_number 216
_symmetry_space_group_name_Hall 'F -4 2 3'
loop_
_atom_site_label
_atom_site_type_symbol
_atom_site_fract_x
_atom_site_fract_y
_atom_site_fract_z
Sr1 Sr 0.000 0.000 0.000
La1 La 0.000 0.000 0.500
Ge1 Ge 0.250 0.250 0.750
Pd1 Pd 0.250 0.250 0.250
```

Formation energy = -0.62 eV per atom
E = -4.73 eV per atom
D(E_F) = 11.34 states/eV per cell
Total magnetization = 0.00 μB per formula unit

---

A plane-wave DFT calculation with GGA-PBE was carried out for GaCuSi after structural relaxation.

Geometry as CIF:
```
data_GaCuSi
_chemical_formula_sum 'Ga2 Cu2 Si2'
_cell_length_a 3.674
_cell_length_b 4.553
_cell_length_c 6.400
_cell_angle_alpha 81.18
_cell_angle_beta 89.23
_cell_angle_gamma 66.87
_symmetry_space_group_name_H-M 'P -1'
_symmetry_Int_Tables_number 2
loop_
_symmetry_equiv_pos_as_xyz
'x,y,z'
'-x,-y,-z'
loop_
_atom_site_label
_atom_site_type_symbol
_atom_site_fract_x
_atom_site_fract_y
_atom_site_fract_z
Ga1 Ga 0.149 0.186 0.116
Cu1 Cu 0.455 0.585 0.184
Si1 Si 0.340 0.816 0.504
```

E = -4.12 eV per atom
D(E_F) = 1.97 states/eV per cell
ΔE_f (raw) = 0.0642 eV/atom
Total magnetization = 0.00 μB per formula unit

---

A plane-wave DFT calculation with GGA-PBE was carried out for CaSc2P after structural relaxation.

Geometry as CIF:
```
data_CaSc2P
_chemical_formula_sum 'Ca2 Sc4 P2'
_cell_length_a 4.142
_cell_length_b 4.011
_cell_length_c 11.754
_cell_angle_alpha 90.00
_cell_angle_beta 90.00
_cell_angle_gamma 90.00
_symmetry_space_group_name_H-M 'A m m 2'
_symmetry_Int_Tables_number 38
loop_
_symmetry_equiv_pos_as_xyz
'x,y,z'
'-x,-y,z'
'-x,y,z'
'x,-y,z'
'x,y+1/2,z+1/2'
'-x,-y+1/2,z+1/2'
'-x,y+1/2,z+1/2'
'x,-y+1/2,z+1/2'
loop_
_atom_site_label
_atom_site_type_symbol
_atom_site_fract_x
_atom_site_fract_y
_atom_site_fract_z
Ca1 Ca 0.000 0.000 0.000
Sc1 Sc 0.000 0.000 0.719
Sc2 Sc 0.500 0.000 0.283
P1 P 0.500 0.000 0.593
```

Formation energy = -0.51 eV per atom
E = -5.52 eV per atom
D(E_F) = 6.70 states/eV per cell
Total magnetization = 0.00 μB per formula unit

---

A plane-wave DFT calculation with GGA-PBE was carried out for Sr3Dy2PaBi6 after structural relaxation.

Geometry as CIF:
```
data_Sr3Dy2PaBi6
_chemical_formula_sum 'Sr6 Dy4 Pa2 Bi12'
_cell_length_a 7.982
_cell_length_b 13.830
_cell_length_c 8.210
_cell_angle_alpha 90.00
_cell_angle_beta 108.91
_cell_angle_gamma 90.00
_symmetry_space_group_name_H-M 'C 1 2/m 1'
_symmetry_Int_Tables_number 12
loop_
_symmetry_equiv_pos_as_xyz
'x,y,z'
'-x,-y,-z'
'-x,y,-z'
'x,-y,z'
'x+1/2,y+1/2,z'
'-x+1/2,-y+1/2,-z'
'-x+1/2,y+1/2,-z'
'x+1/2,-y+1/2,z'
loop_
_atom_site_label
_atom_site_type_symbol
_atom_site_fract_x
_atom_site_fract_y
_atom_site_fract_z
Sr1 Sr 0.000 0.000 0.000
Sr2 Sr 0.000 0.331 0.000
Dy1 Dy 0.000 0.166 0.500
Pa1 Pa 0.000 0.500 0.500
Bi1 Bi 0.239 0.336 0.724
Bi2 Bi 0.247 0.000 0.724
```

Formation energy = -0.72 eV per atom
E = -4.64 eV per atom
D(E_F) = 15.55 states/eV per cell
Total magnetization = 0.00 μB per formula unit

---

A plane-wave DFT calculation with GGA-PBE was carried out for InAs2Os after structural relaxation.

Geometry as CIF:
```
data_InAs2Os
_chemical_formula_sum 'In1 As2 Os1'
_cell_length_a 4.639
_cell_length_b 4.639
_cell_length_c 3.330
_cell_angle_alpha 90.00
_cell_angle_beta 90.00
_cell_angle_gamma 90.00
_symmetry_space_group_name_H-M 'P 4/m m m'
_symmetry_Int_Tables_number 123
_symmetry_space_group_name_Hall '-P 4 2'
loop_
_atom_site_label
_atom_site_type_symbol
_atom_site_fract_x
_atom_site_fract_y
_atom_site_fract_z
In1 In 0.000 0.000 0.000
As1 As 0.000 0.500 0.500
Os1 Os 0.500 0.500 0.000
```

Formation energy = 0.70 eV per atom
E = -5.12 eV per atom
D(E_F) = 3.22 states/eV per cell
Total magnetization = 0.00 μB per formula unit